# 1
Sc2SiOs2: relaxed, GGA-PBE.

a b c (Å): 4.171 4.171 6.396
angles (deg): 70.97 70.97 90.00
Fractional coordinates of all 5 atoms:
Sc1 0.750 0.250 0.500
Sc2 0.250 0.750 0.500
Os1 0.604 0.604 0.791
Os2 0.396 0.396 0.209
Si1 0.000 0.000 0.000

Calculated values
Its formation energy from raw total energies is 57.46 kJ per mole of atoms. As for the space-group type: I4/mmm (139). The energy above the most stable polymorph in this dataset is 24.35 kcal/mol of atoms. As for the magnetization: 0.0 μB per formula unit. The calculation puts the volume at 99 Å³/f.u.

***

# 2
ScSi3Os: relaxed, GGA-PBE.

a b c (Å): 4.706 4.706 4.706
angles (deg): 90.00 90.00 90.00
Fractional coordinates of all 5 atoms:
Sc1 0.000 0.000 0.000
Os1 0.500 0.500 0.500
Si1 0.000 0.500 0.000
Si2 0.500 0.000 0.000
Si3 0.000 0.000 0.500

Calculated values
Its formation energy from raw total energies is 176.41 kJ per mole of atoms. As for the space-group type: Pm-3m (221). As for the magnetization: 0.7 μB per formula unit. The calculation puts the volume at 104 Å³/f.u.

***

# 3
ScSiOs3: relaxed, GGA-PBE.

a b c (Å): 4.626 4.626 4.626
angles (deg): 90.00 90.00 90.00
Fractional coordinates of all 5 atoms:
Os1 0.000 0.000 0.500
Os2 0.000 0.500 0.000
Os3 0.500 0.000 0.000
Si1 0.500 0.500 0.500
Sc1 0.000 0.000 0.000

Calculated values
Its formation energy from raw total energies is 238.19 kJ per mole of atoms. As for the space-group type: Pm-3m (221). The energy above the most stable polymorph in this dataset is 46.53 kcal/mol of atoms. As for the magnetization: 1.1 μB per formula unit. The calculation puts the volume at 99 Å³/f.u.

***

# 4
ScSi3Os: relaxed, GGA-PBE.

a b c (Å): 4.653 4.653 4.653
angles (deg): 90.00 90.00 90.00
Fractional coordinates of all 5 atoms:
Sc1 0.500 0.500 0.500
Os1 0.000 0.000 0.000
Si1 0.000 0.500 0.000
Si2 0.500 0.000 0.000
Si3 0.000 0.000 0.500

Calculated values
Its formation energy from raw total energies is 40.53 kJ per mole of atoms. As for the space-group type: Pm-3m (221). As for the magnetization: 0.0 μB per formula unit. The calculation puts the volume at 101 Å³/f.u.

***

Number 2 is which compound? ScSi3Os